[1]
A plane-wave DFT calculation with PBE was carried out for an optimized crystal structure of TaP2PdS.

Computed properties:
Energy above the most stable polymorph in this dataset = 547 meV/atom
Total magnetization = 0.00 Bohr magnetons per cell
ΔE_f (raw) = 464 kJ/mol of formula units
Final energy = -5.4367 eV per atom
Fermi-level density of states = 4.50 states/eV/cell
Crystal system = tetragonal

Cell: 4.5634 4.5634 4.5650 Å, 90.00 90.00 90.00°
With the nearest neighbours (Å) after each atom.
Positions (direct):
Ta 0.0000 0.0000 0.0000  4 S 3.23, 8 P 3.23
P 0.0000 0.5000 0.5000  2 Pd 2.28
P 0.5000 0.0000 0.5000  2 Pd 2.28
Pd 0.5000 0.5000 0.5000  4 P 2.28, 2 S 2.28
S 0.5000 0.5000 0.0000  2 Pd 2.28



[2]
A plane-wave DFT calculation with PBE was carried out for an optimized crystal structure of MgZrZn.

Computed properties:
Total magnetization = 0.00 Bohr magnetons per cell
Final energy = -3.7293 eV per atom
Fermi-level density of states = 0.47 states/eV/cell
Calculated formation energy = 0.08 eV/atom
Crystal system = cubic

Cell: 4.4959 4.4959 4.4959 Å, 60.00 60.00 60.00°
With the nearest neighbours (Å) after each atom.
Positions (direct):
Mg 0.0000 0.0000 0.0000  4 Zn 2.75
Zr 0.5000 0.5000 0.5000  4 Zn 2.75
Zn 0.7500 0.7500 0.7500  4 Zr 2.75, 4 Mg 2.75



[3]
A plane-wave DFT calculation with PBE was carried out for an optimized crystal structure of B2IrRuI.

Computed properties:
Total magnetization = 2.19 Bohr magnetons per cell
ΔE_f (raw) = 1345 kJ/mol of formula units
Final energy = -3.8211 eV per atom
Fermi-level density of states = 5.71 states/eV/cell
Crystal system = tetragonal

Cell: 4.2702 4.2702 4.9944 Å, 90.00 90.00 90.00°
With the nearest neighbours (Å) after each atom.
Positions (direct):
B 0.0000 0.5000 0.0000  2 I 2.14
B 0.5000 0.0000 0.0000  2 I 2.14
Ir 0.0000 0.0000 0.5000  2 I 2.50
Ru 0.5000 0.5000 0.5000  4 Ir 3.02, 8 B 3.29
I 0.0000 0.0000 0.0000  4 B 2.14



[4]
A plane-wave DFT calculation with PBE was carried out for an optimized crystal structure of Pr5MgGa2.

Computed properties:
Total magnetization = 0.00 Bohr magnetons per cell
Final energy = -4.2075 eV per atom
Fermi-level density of states = 17.30 states/eV/cell
Calculated formation energy = -0.26 eV/atom
Crystal system = tetragonal

Cell: 9.6231 9.6231 9.6231 Å, 131.37 131.37 71.23°
With the nearest neighbours (Å) after each atom.
Positions (direct):
Pr 0.0000 0.0000 0.0000  4 Ga 3.17
Pr 0.0275 0.5275 0.8407  3 Ga 3.22-3.26, 2 Mg 3.39
Pr 0.1868 0.0275 0.5000  3 Ga 3.22-3.26, 2 Mg 3.39
Pr 0.3132 0.8132 0.8407  3 Ga 3.22-3.26, 2 Mg 3.39
Pr 0.4725 0.3132 0.5000  3 Ga 3.22-3.26, 2 Mg 3.39
Pr 0.5000 0.5000 0.0000  4 Ga 3.17
Pr 0.5275 0.6868 0.5000  3 Ga 3.22-3.26, 2 Mg 3.39
Pr 0.6868 0.1868 0.1593  3 Ga 3.22-3.26, 2 Mg 3.39
Pr 0.8132 0.9725 0.5000  3 Ga 3.22-3.26, 2 Mg 3.39
Pr 0.9725 0.4725 0.1593  3 Ga 3.22-3.26, 2 Mg 3.39
Mg 0.2500 0.2500 0.0000  8 Pr 3.39
Mg 0.7500 0.7500 0.0000  8 Pr 3.39
Ga 0.1176 0.3824 0.5000  1 Ga 2.64
Ga 0.3824 0.8824 0.2649  1 Ga 2.64
Ga 0.6176 0.1176 0.7351  1 Ga 2.64
Ga 0.8824 0.6176 0.5000  1 Ga 2.64



[5]
A plane-wave DFT calculation with PBE was carried out for an optimized crystal structure of Ag5Te4As.

Computed properties:
Total magnetization = 0.00 Bohr magnetons per cell
ΔE_f (raw) = 53 kJ/mol of formula units
Final energy = -3.0926 eV per atom
Fermi-level density of states = 1.99 states/eV/cell
Crystal system = triclinic

Cell: 4.1882 7.0389 9.1305 Å, 106.42 102.97 90.15°
With the nearest neighbours (Å) after each atom.
Positions (direct):
Ag 0.0000 0.0000 0.0000  6 Te 2.91-3.13
Ag 0.2948 0.4028 0.5891  3 Te 2.85-3.10, 5 Ag 2.94-3.18
Ag 0.3055 0.8366 0.6113  4 Te 2.82-3.02, 3 Ag 2.94-3.00
Ag 0.6945 0.1634 0.3887  4 Te 2.82-3.02, 3 Ag 2.94-3.00
Ag 0.7052 0.5972 0.4109  3 Te 2.85-3.10, 5 Ag 2.94-3.18
Te 0.1446 0.8434 0.2948  6 Ag 2.83-3.13, 1 As 3.01
Te 0.4430 0.7062 0.8821  4 Ag 2.82-2.92, 2 As 2.91
Te 0.5570 0.2938 0.1179  4 Ag 2.82-2.92, 2 As 2.91
Te 0.8554 0.1566 0.7052  6 Ag 2.83-3.13, 1 As 3.01
As 0.0000 0.5000 0.0000  6 Te 2.91-3.01



[6]
A plane-wave DFT calculation with PBE was carried out for an optimized crystal structure of AcTh5S6.

Computed properties:
Total magnetization = 0.00 Bohr magnetons per cell
ΔE_f (raw) = -2140 kJ/mol of formula units
Final energy = -7.3458 eV per atom
Fermi-level density of states = 7.16 states/eV/cell
Crystal system = monoclinic

Cell: 7.0543 7.0543 7.0853 Å, 99.55 99.55 119.78°
With the nearest neighbours (Å) after each atom.
Positions (direct):
Ac 0.0000 0.0000 0.0000  6 S 2.95-2.96
Th 0.1627 0.8373 0.5000  6 S 2.84-2.89
Th 0.3326 0.6674 0.0000  6 S 2.87-2.89
Th 0.5000 0.5000 0.5000  6 S 2.83-2.88
Th 0.6674 0.3326 0.0000  6 S 2.87-2.89
Th 0.8373 0.1627 0.5000  6 S 2.84-2.89
S 0.0860 0.4278 0.2568  5 Th 2.84-2.89, 1 Ac 2.96
S 0.2587 0.2587 0.7489  5 Th 2.83-2.88, 1 Ac 2.95
S 0.4278 0.0860 0.2568  5 Th 2.84-2.89, 1 Ac 2.96
S 0.5722 0.9140 0.7432  5 Th 2.84-2.89, 1 Ac 2.96
S 0.7413 0.7413 0.2511  5 Th 2.83-2.88, 1 Ac 2.95
S 0.9140 0.5722 0.7432  5 Th 2.84-2.89, 1 Ac 2.96



[7]
A plane-wave DFT calculation with PBE was carried out for an optimized crystal structure of AlMo2As.

Computed properties:
Energy above the most stable polymorph in this dataset = 338 meV/atom
Total magnetization = 0.00 Bohr magnetons per cell
Final energy = -7.3923 eV per atom
Fermi-level density of states = 2.91 states/eV/cell
Calculated formation energy = 0.12 eV/atom
Crystal system = orthorhombic

Cell: 2.8044 2.8044 8.7708 Å, 90.00 90.00 108.90°
With the nearest neighbours (Å) after each atom.
Positions (direct):
Al 0.0000 0.0000 0.0000  2 Mo 2.65, 4 Al 2.80, 2 As 2.91
Mo 0.0000 0.0000 0.5169  2 As 2.68, 6 Mo 2.70-2.80
Mo 0.5000 0.5000 0.7623  2 Al 2.65, 6 Mo 2.70-2.80
As 0.5000 0.5000 0.2742  2 Mo 2.68, 4 As 2.80, 2 Al 2.91



[8]
A plane-wave DFT calculation with PBE was carried out for an optimized crystal structure of Nd3Er6Tm2.

Computed properties:
Energy above the most stable polymorph in this dataset = 0 meV/atom
Total magnetization = 0.21 Bohr magnetons per cell
Final energy = -4.4500 eV per atom
Fermi-level density of states = 24.45 states/eV/cell
Calculated formation energy = 0.15 eV/atom
Crystal system = trigonal

Cell: 13.1403 13.1403 13.1403 Å, 24.78 24.78 24.78°
With the nearest neighbours (Å) after each atom.
Positions (direct):
Nd 0.0000 0.0000 0.0000  2 Nd 3.12, 6 Tm 3.45
Nd 0.0818 0.0818 0.0818  1 Nd 3.12, 4 Er 3.29-3.40
Nd 0.9182 0.9182 0.9182  1 Nd 3.12, 4 Er 3.29-3.40
Er 0.1709 0.1709 0.1709  7 Er 3.27-3.60, 1 Nd 3.40
Er 0.2648 0.2648 0.2648  3 Nd 3.29, 3 Tm 3.58, 1 Er 3.59
Er 0.4553 0.4553 0.4553  7 Er 3.41-3.75, 1 Tm 3.52, 3 Nd 3.60
Er 0.5447 0.5447 0.5447  7 Er 3.41-3.75, 1 Tm 3.52, 3 Nd 3.60
Er 0.7352 0.7352 0.7352  3 Nd 3.29, 3 Tm 3.58, 1 Er 3.59
Er 0.8291 0.8291 0.8291  7 Er 3.27-3.60, 1 Nd 3.40
Tm 0.3631 0.3631 0.3631  6 Nd 3.45-3.81, 5 Er 3.52-3.76
Tm 0.6369 0.6369 0.6369  6 Nd 3.45-3.81, 5 Er 3.52-3.76



[9]
A plane-wave DFT calculation with PBE was carried out for an optimized crystal structure of CdSi2Hg.

Computed properties:
Energy above the most stable polymorph in this dataset = 307 meV/atom
Total magnetization = 0.00 Bohr magnetons per cell
ΔE_f (raw) = 201 kJ/mol of formula units
Final energy = -2.4948 eV per atom
Fermi-level density of states = 1.65 states/eV/cell
Crystal system = tetragonal

Cell: 3.9989 3.9989 5.0576 Å, 90.00 90.00 90.00°
With the nearest neighbours (Å) after each atom.
Positions (direct):
Cd 0.0000 0.0000 0.0000  4 Hg 2.83
Si 0.0000 0.5000 0.5000  4 Si 2.83
Si 0.5000 0.0000 0.5000  4 Si 2.83
Hg 0.5000 0.5000 0.0000  4 Cd 2.83



[10]
A plane-wave DFT calculation with PBE was carried out for an optimized crystal structure of Pr12H5Pt3.

Computed properties:
Total magnetization = 0.00 Bohr magnetons per cell
Final energy = -5.0834 eV per atom
Fermi-level density of states = 86.21 states/eV/cell
Crystal system = cubic

Cell: 13.6980 13.6980 13.6980 Å, 109.47 109.47 109.47°
With the nearest neighbours (Å) after each atom.
Positions (direct):
Pr 0.0259 0.2153 0.1176  1 H 2.30
Pr 0.0259 0.3107 0.9083  1 H 2.30
Pr 0.0917 0.6176 0.4024  1 H 2.30
Pr 0.0917 0.9741 0.6893  1 H 2.30
Pr 0.0976 0.7153 0.6893  1 H 2.30
Pr 0.0976 0.8824 0.4083  1 H 2.30
Pr 0.1176 0.0259 0.2153  1 H 2.30
Pr 0.1176 0.5917 0.9024  1 H 2.30
Pr 0.1893 0.2153 0.5976  1 H 2.30
Pr 0.1893 0.4741 0.5917  1 H 2.30
Pr 0.2153 0.1176 0.0259  1 H 2.30
Pr 0.2153 0.5976 0.1893  1 H 2.30
Pr 0.2847 0.3107 0.9024  1 H 2.30
Pr 0.2847 0.4741 0.3824  1 H 2.30
Pr 0.3107 0.9024 0.2847  1 H 2.30
Pr 0.3107 0.9083 0.0259  1 H 2.30
Pr 0.3824 0.2847 0.4741  1 H 2.30
Pr 0.3824 0.5976 0.9083  1 H 2.30
Pr 0.4024 0.0917 0.6176  1 H 2.30
Pr 0.4024 0.8107 0.7847  1 H 2.30
Pr 0.4083 0.0976 0.8824  1 H 2.30
Pr 0.4083 0.8107 0.5259  1 H 2.30
Pr 0.4741 0.3824 0.2847  1 H 2.30
Pr 0.4741 0.5917 0.1893  1 H 2.30
Pr 0.5259 0.4083 0.8107  1 H 2.30
Pr 0.5259 0.6176 0.7153  1 H 2.30
Pr 0.5917 0.1893 0.4741  1 H 2.30
Pr 0.5917 0.9024 0.1176  1 H 2.30
Pr 0.5976 0.1893 0.2153  1 H 2.30
Pr 0.5976 0.9083 0.3824  1 H 2.30
Pr 0.6176 0.4024 0.0917  1 H 2.30
Pr 0.6176 0.7153 0.5259  1 H 2.30
Pr 0.6893 0.0917 0.9741  1 H 2.30
Pr 0.6893 0.0976 0.7153  1 H 2.30
Pr 0.7153 0.5259 0.6176  1 H 2.30
Pr 0.7153 0.6893 0.0976  1 H 2.30
Pr 0.7847 0.4024 0.8107  1 H 2.30
Pr 0.7847 0.8824 0.9741  1 H 2.30
Pr 0.8107 0.5259 0.4083  1 H 2.30
Pr 0.8107 0.7847 0.4024  1 H 2.30
Pr 0.8824 0.4083 0.0976  1 H 2.30
Pr 0.8824 0.9741 0.7847  1 H 2.30
Pr 0.9024 0.1176 0.5917  1 H 2.30
Pr 0.9024 0.2847 0.3107  1 H 2.30
Pr 0.9083 0.0259 0.3107  1 H 2.30
Pr 0.9083 0.3824 0.5976  1 H 2.30
Pr 0.9741 0.6893 0.0917  1 H 2.30
Pr 0.9741 0.7847 0.8824  1 H 2.30
H 0.0000 0.0000 0.0000  6 Pr 2.68
H 0.0000 0.0000 0.5000  6 Pr 2.68
H 0.0000 0.5000 0.0000  6 Pr 2.68
H 0.0000 0.5000 0.5000  6 Pr 2.68
H 0.1250 0.7500 0.8750  4 Pr 2.30
H 0.1250 0.8750 0.2500  4 Pr 2.30
H 0.2500 0.1250 0.8750  4 Pr 2.30
H 0.2500 0.6250 0.3750  4 Pr 2.30
H 0.3750 0.2500 0.6250  4 Pr 2.30
H 0.3750 0.6250 0.7500  4 Pr 2.30
H 0.5000 0.0000 0.0000  6 Pr 2.68
H 0.5000 0.0000 0.5000  6 Pr 2.68
H 0.5000 0.5000 0.0000  6 Pr 2.68
H 0.5000 0.5000 0.5000  6 Pr 2.68
H 0.6250 0.3750 0.2500  4 Pr 2.30
H 0.6250 0.7500 0.3750  4 Pr 2.30
H 0.7500 0.3750 0.6250  4 Pr 2.30
H 0.7500 0.8750 0.1250  4 Pr 2.30
H 0.8750 0.1250 0.7500  4 Pr 2.30
H 0.8750 0.2500 0.1250  4 Pr 2.30
Pt 0.1250 0.2500 0.3750  8 Pr 3.06-3.12
Pt 0.1250 0.3750 0.7500  8 Pr 3.06-3.12
Pt 0.2500 0.3750 0.1250  8 Pr 3.06-3.12
Pt 0.2500 0.8750 0.6250  8 Pr 3.06-3.12
Pt 0.3750 0.1250 0.2500  8 Pr 3.06-3.12
Pt 0.3750 0.7500 0.1250  8 Pr 3.06-3.12
Pt 0.6250 0.2500 0.8750  8 Pr 3.06-3.12
Pt 0.6250 0.8750 0.7500  8 Pr 3.06-3.12
Pt 0.7500 0.1250 0.3750  8 Pr 3.06-3.12
Pt 0.7500 0.6250 0.8750  8 Pr 3.06-3.12
Pt 0.8750 0.6250 0.2500  8 Pr 3.06-3.12
Pt 0.8750 0.7500 0.6250  8 Pr 3.06-3.12



[11]
A plane-wave DFT calculation with PBE was carried out for an optimized crystal structure of MgSbAs2.

Computed properties:
Energy above the most stable polymorph in this dataset = 71 meV/atom
Total magnetization = 0.00 Bohr magnetons per cell
ΔE_f (raw) = -38 kJ/mol of formula units
Final energy = -3.8528 eV per atom
Fermi-level density of states = 1.52 states/eV/cell
Crystal system = orthorhombic

Cell: 3.0599 3.8459 7.5906 Å, 90.00 90.00 90.00°
With the nearest neighbours (Å) after each atom.
Positions (direct):
Mg 0.0000 0.0000 0.0000  8 As 2.94, 2 Mg 3.06
Sb 0.5000 0.0000 0.5000  4 As 2.90, 2 Sb 3.06
As 0.5000 0.5000 0.2131  2 Sb 2.90, 4 Mg 2.94, 3 As 3.06-3.24
As 0.5000 0.5000 0.7869  2 Sb 2.90, 4 Mg 2.94, 3 As 3.06-3.24